No. 1
## PuGaAg (PBE-GGA)

Data for crystalline PuGaAg at its relaxed geometry.

a b c (Å): 6.8012 6.8012 6.8012
angles (deg): 43.38 43.38 43.38
Atoms (fractional coordinates):
Pu1 0.1159 0.1159 0.1159
Pu2 0.8841 0.8841 0.8841
Ga1 0.4299 0.4299 0.4299
Ga2 0.5701 0.5701 0.5701
Ag1 0.2891 0.2891 0.2891
Ag2 0.7109 0.7109 0.7109

Results
VASP energy in eV/atom: -6.736
Calculated formation energy in meV per atom: 1
Calculated volume in Å³/cell: 134.60
Space group: No. 166



No. 2
## Pr2DyAs3Rh12 (PBE-GGA)

Data for crystalline Pr2DyAs3Rh12 at its relaxed geometry.

a b c (Å): 6.8506 6.8506 6.8506
angles (deg): 84.28 84.28 84.28
Atoms (fractional coordinates):
Pr1 0.1433 0.1433 0.1433
Pr2 0.8567 0.8567 0.8567
Dy1 0.5000 0.5000 0.5000
As1 0.0000 0.5000 0.5000
As2 0.5000 0.0000 0.5000
As3 0.5000 0.5000 0.0000
Rh1 0.1219 0.1219 0.6015
Rh2 0.1219 0.6015 0.1219
Rh3 0.1798 0.6843 0.6843
Rh4 0.3157 0.3157 0.8202
Rh5 0.3157 0.8202 0.3157
Rh6 0.3985 0.8781 0.8781
Rh7 0.6015 0.1219 0.1219
Rh8 0.6843 0.1798 0.6843
Rh9 0.6843 0.6843 0.1798
Rh10 0.8202 0.3157 0.3157
Rh11 0.8781 0.3985 0.8781
Rh12 0.8781 0.8781 0.3985

Results
VASP energy in eV/atom: -6.732
Calculated formation energy in meV per atom: -269
Calculated volume in Å³/cell: 317.01
Space group: No. 166



No. 3
## RbPuTcO6 (PBE-GGA)

Data for crystalline RbPuTcO6 at its relaxed geometry.

a b c (Å): 7.5362 7.5362 7.5362
angles (deg): 121.65 118.07 90.27
Atoms (fractional coordinates):
Rb1 0.3632 0.1132 0.2500
Rb2 0.6368 0.8868 0.7500
Pu1 0.0000 0.5000 0.5000
Pu2 0.5000 0.5000 0.0000
Tc1 0.0000 0.0000 0.5000
Tc2 0.0000 0.5000 0.0000
O1 0.0419 0.7919 0.2500
O2 0.0532 0.4191 0.2233
O3 0.0532 0.8299 0.6341
O4 0.3042 0.1701 0.7233
O5 0.3042 0.5809 0.1341
O6 0.3275 0.5775 0.7500
O7 0.6725 0.4225 0.2500
O8 0.6958 0.4191 0.8659
O9 0.6958 0.8299 0.2767
O10 0.9468 0.1701 0.3659
O11 0.9468 0.5809 0.7767
O12 0.9581 0.2081 0.7500

Results
VASP energy in eV/atom: -8.174
Raw formation energy in eV per atom: -2.0168
Calculated volume in Å³/cell: 302.93
Space group: No. 74



No. 4
## Pm7Nd2Tl2 (PBE-GGA)

Data for crystalline Pm7Nd2Tl2 at its relaxed geometry.

a b c (Å): 11.4719 11.4719 11.4719
angles (deg): 161.36 55.39 128.34
Atoms (fractional coordinates):
Pm1 0.0000 0.0000 0.0000
Pm2 0.0649 0.7030 0.3619
Pm3 0.3410 0.7030 0.6381
Pm4 0.3981 0.5273 0.8708
Pm5 0.6564 0.5273 0.1292
Pm6 0.6680 0.3306 0.3374
Pm7 0.9932 0.3306 0.6626
Nd1 0.3367 0.3367 0.0000
Nd2 0.6874 0.1874 0.5000
Tl1 0.2844 0.0392 0.2452
Tl2 0.7939 0.0392 0.7548

Results
VASP energy in eV/atom: -4.348
Calculated formation energy in meV per atom: -28
Calculated volume in Å³/cell: 377.18
Space group: No. 44



No. 5
## Rb2Pr2PuO6 (PBE-GGA)

Data for crystalline Rb2Pr2PuO6 at its relaxed geometry.

a b c (Å): 6.2694 6.2694 7.0053
angles (deg): 98.22 98.22 119.74
Atoms (fractional coordinates):
Rb1 0.1655 0.8346 0.0000
Rb2 0.8346 0.1655 0.0000
Pr1 0.3344 0.6656 0.5000
Pr2 0.6656 0.3344 0.5000
Pu1 0.0000 0.0000 0.5000
O1 0.0464 0.3676 0.6672
O2 0.2498 0.2498 0.3321
O3 0.3676 0.0464 0.6672
O4 0.6324 0.9536 0.3328
O5 0.7502 0.7502 0.6679
O6 0.9536 0.6324 0.3328

Results
VASP energy in eV/atom: -7.720
Raw formation energy in eV per atom: -2.6672
Calculated volume in Å³/cell: 229.18
Space group: No. 12



No. 6
## Y3HPb (PBE-GGA)

Data for crystalline Y3HPb at its relaxed geometry.

a b c (Å): 3.5009 6.1563 6.1563
angles (deg): 100.33 90.00 90.00
Atoms (fractional coordinates):
Y1 0.0000 0.0000 0.0000
Y2 0.5000 0.1360 0.5098
Y3 0.5000 0.5098 0.1360
H1 0.0000 0.2874 0.2874
Pb1 0.5000 0.6558 0.6558

Results
Energy above the most stable polymorph in this dataset in eV per atom: 0.278
VASP energy in eV/atom: -5.473
Calculated volume in Å³/cell: 130.53
Space group: No. 38



No. 7
## Ni2Sn2Pd (PBE-GGA)

Data for crystalline Ni2Sn2Pd at its relaxed geometry.

a b c (Å): 7.8753 7.8753 7.8753
angles (deg): 155.18 155.18 35.38
Atoms (fractional coordinates):
Ni1 0.2500 0.7500 0.5000
Ni2 0.7500 0.2500 0.5000
Sn1 0.1135 0.1135 0.0000
Sn2 0.8865 0.8865 0.0000
Pd1 0.5000 0.5000 0.0000

Results
Energy above the most stable polymorph in this dataset in eV per atom: 0.137
VASP energy in eV/atom: -5.039
Calculated formation energy in meV per atom: -87
Calculated volume in Å³/cell: 85.94
Space group: No. 139



No. 8
## La3Y2Er3 (PBE-GGA)

Data for crystalline La3Y2Er3 at its relaxed geometry.

a b c (Å): 6.2166 6.2862 8.0761
angles (deg): 105.00 104.71 109.56
Atoms (fractional coordinates):
La1 0.0000 0.0000 0.0000
La2 0.1232 0.6233 0.2472
La3 0.8768 0.3767 0.7528
Y1 0.2513 0.2511 0.5021
Y2 0.7487 0.7489 0.4979
Er1 0.3764 0.8763 0.7520
Er2 0.5000 0.5000 0.0000
Er3 0.6236 0.1237 0.2480

Results
Energy above the most stable polymorph in this dataset in eV per atom: 0.000
VASP energy in eV/atom: -5.149
Calculated formation energy in meV per atom: 26
Calculated volume in Å³/cell: 266.37
Space group: No. 2